# 1
Entry from Alexandria: crystalline SbBrCl2 at its relaxed geometry (PBE).

Computed properties:
ΔE_f (raw) (eV per atom): -0.016
Relative energy among the computed polymorphs (kcal/mol of atoms): 17.463
Crystal system: trigonal

a b c (Å): 12.002 12.002 12.002
angles (deg): 16.33 16.33 16.33
Sites, in units of the cell vectors:
Sb 0.000 0.000 0.000
Br 0.500 0.500 0.500
Cl 0.068 0.068 0.068
Cl 0.932 0.932 0.932


# 2
Entry from Alexandria: crystalline NaY2MgSe4 at its relaxed geometry (PBE).

Computed properties:
ΔE_f (raw) (eV per atom): -1.562
Crystal system: monoclinic

a b c (Å): 7.019 4.030 7.146
angles (deg): 90.00 108.57 90.00
Sites, in units of the cell vectors:
Na 0.000 0.000 0.000
Y 0.000 0.500 0.500
Y 0.500 0.000 0.500
Mg 0.500 0.500 0.000
Se 0.260 0.500 0.250
Se 0.261 0.000 0.759
Se 0.739 0.000 0.241
Se 0.740 0.500 0.750


# 3
Entry from Alexandria: crystalline LiTbCe2Hg4 at its relaxed geometry (PBE).

Computed properties:
Crystal system: trigonal
Energy of formation (eV/f.u.): -2.81

a b c (Å): 9.182 9.182 9.182
angles (deg): 33.29 33.29 33.29
Sites, in units of the cell vectors:
Li 0.000 0.000 0.000
Tb 0.500 0.500 0.500
Ce 0.253 0.253 0.253
Ce 0.747 0.747 0.747
Hg 0.124 0.124 0.124
Hg 0.374 0.374 0.374
Hg 0.626 0.626 0.626
Hg 0.876 0.876 0.876


# 4
Entry from Alexandria: crystalline Y3HfTe at its relaxed geometry (PBE).

Computed properties:
ΔE_f (raw) (eV per atom): 0.295
Relative energy among the computed polymorphs (kcal/mol of atoms): 0.000
Crystal system: cubic

a b c (Å): 5.592 5.592 5.592
angles (deg): 90.00 90.00 90.00
Sites, in units of the cell vectors:
Y 0.000 0.000 0.500
Y 0.000 0.500 0.000
Y 0.500 0.000 0.000
Hf 0.500 0.500 0.500
Te 0.000 0.000 0.000


# 5
Entry from Alexandria: crystalline Re2AgSnRh at its relaxed geometry (PBE).

Computed properties:
Crystal system: tetragonal
Energy of formation (eV/f.u.): 8.43

a b c (Å): 4.714 4.714 5.025
angles (deg): 90.00 90.00 90.00
Sites, in units of the cell vectors:
Re 0.000 0.500 0.000
Re 0.500 0.000 0.000
Ag 0.000 0.000 0.500
Sn 0.500 0.500 0.500
Rh 0.000 0.000 0.000


# 6
Entry from Alexandria: crystalline LiNbNi at its relaxed geometry (PBE).

Computed properties:
Crystal system: orthorhombic
Energy of formation (eV/f.u.): 0.38

a b c (Å): 12.477 2.683 2.683
angles (deg): 83.11 90.00 90.00
Sites, in units of the cell vectors:
Li 0.141 0.000 0.000
Li 0.859 0.000 0.000
Nb 0.345 0.506 0.506
Nb 0.655 0.506 0.506
Ni 0.000 0.497 0.497
Ni 0.500 0.007 0.007


# 7
Entry from Alexandria: crystalline TlAs2Ir at its relaxed geometry (PBE).

Computed properties:
Relative energy among the computed polymorphs (kcal/mol of atoms): 2.127
Crystal system: orthorhombic
Energy of formation (eV/f.u.): 0.07

a b c (Å): 9.238 9.238 9.238
angles (deg): 161.46 159.27 27.95
Sites, in units of the cell vectors:
Tl 0.000 0.000 0.000
As 0.653 0.653 0.000
As 0.831 0.331 0.500
Ir 0.257 0.757 0.500


# 8
Entry from Alexandria: crystalline RbSrMg at its relaxed geometry (PBE).

Computed properties:
Crystal system: triclinic
Energy of formation (eV/f.u.): 0.34

a b c (Å): 4.244 7.565 10.625
angles (deg): 69.44 90.00 73.77
Sites, in units of the cell vectors:
Rb 0.000 0.000 0.000
Rb 0.307 0.388 0.179
Sr 0.642 0.712 0.446
Sr 0.950 0.096 0.597
Mg 0.285 0.423 0.717
Mg 0.657 0.682 0.798


# 9
Entry from Alexandria: crystalline ZnHgW2 at its relaxed geometry (PBE).

Computed properties:
Relative energy among the computed polymorphs (kcal/mol of atoms): 4.237
Crystal system: monoclinic
Energy of formation (eV/f.u.): 2.24

a b c (Å): 5.148 5.148 4.497
angles (deg): 105.54 105.54 35.94
Sites, in units of the cell vectors:
Zn 0.000 0.000 0.000
Hg 0.500 0.500 0.500
W 0.254 0.254 0.764
W 0.746 0.746 0.236


# 10
Entry from Alexandria: crystalline AcPuBiPt at its relaxed geometry (PBE).

Computed properties:
Crystal system: cubic
Energy of formation (eV/f.u.): -2.25

a b c (Å): 5.471 5.471 5.471
angles (deg): 60.00 60.00 60.00
Sites, in units of the cell vectors:
Ac 0.000 0.000 0.000
Pu 0.500 0.500 0.500
Bi 0.250 0.250 0.250
Pt 0.750 0.750 0.750


# 11
Entry from Alexandria: crystalline La3TiB2N6 at its relaxed geometry (PBE).

Computed properties:
ΔE_f (raw) (eV per atom): -1.262
Crystal system: trigonal

a b c (Å): 5.458 5.458 6.320
angles (deg): 90.00 90.00 120.00
Sites, in units of the cell vectors:
La 0.000 0.000 0.000
La 0.333 0.667 0.669
La 0.667 0.333 0.331
Ti 0.000 0.000 0.500
B 0.333 0.667 0.267
B 0.667 0.333 0.733
N 0.179 0.358 0.299
N 0.179 0.821 0.299
N 0.358 0.179 0.701
N 0.642 0.821 0.299
N 0.821 0.179 0.701
N 0.821 0.642 0.701


# 12
Entry from Alexandria: crystalline KZr2SiMo at its relaxed geometry (PBE).

Computed properties:
ΔE_f (raw) (eV per atom): 0.622
Crystal system: tetragonal

a b c (Å): 5.128 5.128 4.967
angles (deg): 90.00 90.00 90.00
Sites, in units of the cell vectors:
K 0.000 0.000 0.000
Zr 0.000 0.500 0.500
Zr 0.500 0.000 0.500
Si 0.500 0.500 0.000
Mo 0.500 0.500 0.500


# 13
Entry from Alexandria: crystalline CuSiN at its relaxed geometry (PBE).

Computed properties:
ΔE_f (raw) (eV per atom): -0.149
Crystal system: triclinic

a b c (Å): 2.969 5.278 5.425
angles (deg): 101.84 105.85 106.24
Sites, in units of the cell vectors:
Cu 0.174 0.055 0.297
Cu 0.826 0.945 0.703
Si 0.334 0.462 0.205
Si 0.666 0.538 0.795
N 0.081 0.347 0.813
N 0.919 0.653 0.187


# 14
Entry from Alexandria: crystalline NdLu3 at its relaxed geometry (PBE).

Computed properties:
Relative energy among the computed polymorphs (kcal/mol of atoms): 0.604
Crystal system: cubic
Energy of formation (eV/f.u.): 0.14

a b c (Å): 4.971 4.971 4.971
angles (deg): 90.00 90.00 90.00
Sites, in units of the cell vectors:
Nd 0.000 0.000 0.000
Lu 0.000 0.500 0.500
Lu 0.500 0.000 0.500
Lu 0.500 0.500 0.000


# 15
Entry from Alexandria: crystalline TbPuGa3 at its relaxed geometry (PBE).

Computed properties:
Crystal system: orthorhombic
Energy of formation (eV/f.u.): -2.16

a b c (Å): 13.083 13.083 4.180
angles (deg): 90.00 90.00 161.38
Sites, in units of the cell vectors:
Tb 0.204 0.796 0.750
Tb 0.796 0.204 0.250
Pu 0.073 0.927 0.250
Pu 0.927 0.073 0.750
Ga 0.324 0.676 0.750
Ga 0.381 0.619 0.250
Ga 0.476 0.524 0.250
Ga 0.524 0.476 0.750
Ga 0.619 0.381 0.750
Ga 0.676 0.324 0.250


# 16
Entry from Alexandria: crystalline NaTl6Cd3 at its relaxed geometry (PBE).

Computed properties:
Crystal system: orthorhombic
Energy of formation (eV/f.u.): 0.19

a b c (Å): 9.384 9.384 6.707
angles (deg): 90.00 90.00 97.67
Sites, in units of the cell vectors:
Na 0.200 0.800 0.500
Na 0.800 0.200 0.000
Tl 0.066 0.476 0.215
Tl 0.193 0.807 0.006
Tl 0.202 0.238 0.509
Tl 0.238 0.202 0.009
Tl 0.422 0.578 0.311
Tl 0.476 0.066 0.715
Tl 0.524 0.934 0.215
Tl 0.578 0.422 0.811
Tl 0.762 0.798 0.509
Tl 0.798 0.762 0.009
Tl 0.807 0.193 0.506
Tl 0.934 0.524 0.715
Cd 0.003 0.997 0.751
Cd 0.255 0.508 0.789
Cd 0.492 0.745 0.789
Cd 0.508 0.255 0.289
Cd 0.745 0.492 0.289
Cd 0.997 0.003 0.251


# 17
Entry from Alexandria: crystalline FeCoSi2 at its relaxed geometry (PBE).

Computed properties:
ΔE_f (raw) (eV per atom): -0.320
Crystal system: orthorhombic

a b c (Å): 4.854 4.854 4.854
angles (deg): 146.97 134.36 57.48
Sites, in units of the cell vectors:
Fe 0.000 0.000 0.000
Co 0.273 0.773 0.500
Si 0.500 0.500 0.000
Si 0.771 0.271 0.500


# 18
Entry from Alexandria: crystalline Mg9Bi2Pb at its relaxed geometry (PBE).

Computed properties:
Crystal system: tetragonal
Energy of formation (eV/f.u.): -1.02

a b c (Å): 4.592 4.592 13.842
angles (deg): 90.00 90.00 90.00
Sites, in units of the cell vectors:
Mg 0.000 0.000 0.000
Mg 0.000 0.000 0.331
Mg 0.000 0.000 0.669
Mg 0.000 0.500 0.162
Mg 0.000 0.500 0.500
Mg 0.000 0.500 0.838
Mg 0.500 0.000 0.162
Mg 0.500 0.000 0.500
Mg 0.500 0.000 0.838
Bi 0.500 0.500 0.332
Bi 0.500 0.500 0.668
Pb 0.500 0.500 0.000


# 19
Entry from Alexandria: crystalline ErZr5In3 at its relaxed geometry (PBE).

Computed properties:
Crystal system: hexagonal
Energy of formation (eV/f.u.): -2.11

a b c (Å): 8.852 8.852 6.148
angles (deg): 90.00 90.00 120.00
Sites, in units of the cell vectors:
Er 0.000 0.000 0.000
Er 0.000 0.000 0.500
Zr 0.000 0.343 0.250
Zr 0.000 0.657 0.750
Zr 0.333 0.667 0.000
Zr 0.333 0.667 0.500
Zr 0.343 0.000 0.250
Zr 0.343 0.343 0.750
Zr 0.657 0.000 0.750
Zr 0.657 0.657 0.250
Zr 0.667 0.333 0.000
Zr 0.667 0.333 0.500
In 0.000 0.330 0.750
In 0.000 0.670 0.250
In 0.330 0.000 0.750
In 0.330 0.330 0.250
In 0.670 0.000 0.250
In 0.670 0.670 0.750


# 20
Entry from Alexandria: crystalline Fe3Sb4 at its relaxed geometry (PBE).

Computed properties:
ΔE_f (raw) (eV per atom): 0.113
Relative energy among the computed polymorphs (kcal/mol of atoms): 0.000
Crystal system: tetragonal

a b c (Å): 14.312 14.312 14.312
angles (deg): 167.29 167.29 18.01
Sites, in units of the cell vectors:
Fe 0.000 0.000 0.000
Fe 0.271 0.271 0.000
Fe 0.729 0.729 0.000
Sb 0.171 0.171 0.000
Sb 0.444 0.444 0.000
Sb 0.556 0.556 0.000
Sb 0.829 0.829 0.000